# ScBe2Pd (PBE-GGA, optimized geometry)
data_ScBe2Pd
_space_group_name_H-M_alt 'I 41/a m d'
_space_group_IT_number 141
_cell_length_a 4.0209
_cell_length_b 4.0209
_cell_length_c 16.0579
_cell_angle_alpha 90.00
_cell_angle_beta 90.00
_cell_angle_gamma 90.00
loop_
_space_group_symop_operation_xyz
'x,y,z'
'-x,-y,-z'
'-y+1/4,x+3/4,z+1/4'
'y+1/4,-x+3/4,-z+1/4'
'-x+1/2,-y,z+1/2'
'x+1/2,y,-z+1/2'
'y+1/4,-x+1/4,z+3/4'
'-y+1/4,x+1/4,-z+3/4'
'x,-y,-z'
'-x,y,z'
'-y+1/4,-x+1/4,-z+3/4'
'y+1/4,x+1/4,z+3/4'
'-x+1/2,y,-z+1/2'
'x+1/2,-y,z+1/2'
'y+1/4,x+3/4,-z+1/4'
'-y+1/4,-x+3/4,z+1/4'
'x+1/2,y+1/2,z+1/2'
'-x+1/2,-y+1/2,-z+1/2'
'-y+3/4,x+1/4,z+3/4'
'y+3/4,-x+1/4,-z+3/4'
'-x,-y+1/2,z'
'x,y+1/2,-z'
'y+3/4,-x+3/4,z+1/4'
'-y+3/4,x+3/4,-z+1/4'
'x+1/2,-y+1/2,-z+1/2'
'-x+1/2,y+1/2,z+1/2'
'-y+3/4,-x+3/4,-z+1/4'
'y+3/4,x+3/4,z+1/4'
'-x,y+1/2,-z'
'x,-y+1/2,z'
'y+3/4,x+1/4,-z+3/4'
'-y+3/4,-x+1/4,z+3/4'
loop_
_atom_site_label
_atom_site_type_symbol
_atom_site_fract_x
_atom_site_fract_y
_atom_site_fract_z
_atom_site_occupancy
Sc1 Sc 0.0000 0.2500 0.3750 1
Be1 Be 0.0000 0.0000 0.0000 1
Pd1 Pd 0.0000 0.2500 0.8750 1
# Calculated volume   16.226 Å³/atom
# Energy above the lowest structure with this stoichiometry   352 meV per atom
# Uncorrected energy   -4.78 eV per atom
# Crystal system   tetragonal